# 1
Density functional theory data (PBEsol) for a relaxed structure of ScSnW3. Values from VASP.

Summary:
Volume ... 98 Å³/cell
E ... -8.149 eV/atom
ρ ... 12.18 g cm⁻³
Energy of formation ... 2.31 eV/atom
SG ... Pm-3m

Structure (Quantum ESPRESSO input):
```
&SYSTEM
  ibrav = 0, nat = 5, ntyp = 3
/
ATOMIC_SPECIES
Sn 118.71 Sn.upf
W 183.84 W.upf
Sc 44.96 Sc.upf
CELL_PARAMETERS angstrom
-0.867 -4.489 -0.534
3.148 -0.210 -3.352
3.244 -0.996 3.110
ATOMIC_POSITIONS angstrom
Sn 2.763 -2.847 -0.388
W 1.574 -0.105 -1.676
W 1.622 -0.498 1.555
W -0.433 -2.245 -0.267
Sc 0.000 0.000 0.000
```

=====

# 2
Density functional theory data (PBEsol) for a relaxed structure of LiSbMo. Values from VASP.

Summary:
Volume ... 60 Å³/cell
E ... -5.672 eV/atom
ρ ... 6.22 g cm⁻³
SG ... F-43m

Structure (Quantum ESPRESSO input):
```
&SYSTEM
  ibrav = 0, nat = 3, ntyp = 3
/
ATOMIC_SPECIES
Mo 95.94 Mo.upf
Li 6.94 Li.upf
Sb 121.76 Sb.upf
CELL_PARAMETERS angstrom
-3.497 -1.920 1.843
-1.157 -4.068 -1.194
0.549 -3.349 2.792
ATOMIC_POSITIONS angstrom
Mo -2.052 -4.669 1.721
Li 0.000 0.000 0.000
Sb -3.079 -7.003 2.582
```

=====

# 3
Density functional theory data (PBEsol) for a relaxed structure of SmPt2. Values from VASP.

Summary:
Volume ... 112 Å³/cell
E ... -7.418 eV/atom
ρ ... 16.08 g cm⁻³
Energy of formation ... -1.08 eV/atom
SG ... Fd-3m

Structure (Quantum ESPRESSO input):
```
&SYSTEM
  ibrav = 0, nat = 6, ntyp = 2
/
ATOMIC_SPECIES
Pt 195.08 Pt.upf
Sm 150.36 Sm.upf
CELL_PARAMETERS angstrom
5.405 0.000 0.000
2.703 4.681 0.000
2.703 1.560 4.413
ATOMIC_POSITIONS angstrom
Pt 4.054 0.780 0.552
Pt 2.703 1.560 2.758
Pt 1.351 0.780 0.552
Pt 2.703 3.121 0.552
Sm 5.405 3.121 2.207
Sm 8.108 4.681 3.310
```

=====

# 4
Density functional theory data (PBEsol) for a relaxed structure of TaTiC2. Values from VASP.

Summary:
Volume ... 41 Å³/cell
E ... -9.718 eV/atom
ρ ... 10.33 g cm⁻³
Energy of formation ... 0.32 eV/atom
SG ... Fm-3m

Structure (Quantum ESPRESSO input):
```
&SYSTEM
  ibrav = 0, nat = 4, ntyp = 3
/
ATOMIC_SPECIES
Ta 180.95 Ta.upf
C 12.01 C.upf
Ti 47.87 Ti.upf
CELL_PARAMETERS angstrom
3.859 0.000 0.000
1.930 3.342 0.000
1.930 1.114 3.151
ATOMIC_POSITIONS angstrom
Ta 3.859 2.228 1.575
C 1.930 1.114 0.788
C 5.789 3.342 2.363
Ti 0.000 0.000 0.000
```

=====

# 5
Density functional theory data (PBEsol) for a relaxed structure of K2Mg2Zn. Values from VASP.

Summary:
Volume ... 186 Å³/cell
E ... -1.155 eV/atom
ρ ... 1.71 g cm⁻³
Energy of formation ... 0.30 eV/atom
SG ... I4/mmm

Structure (Quantum ESPRESSO input):
```
&SYSTEM
  ibrav = 0, nat = 5, ntyp = 3
/
ATOMIC_SPECIES
Mg 24.30 Mg.upf
Zn 65.41 Zn.upf
K 39.10 K.upf
CELL_PARAMETERS angstrom
4.162 0.000 0.000
0.000 4.162 0.000
-2.081 -2.081 10.750
ATOMIC_POSITIONS angstrom
Mg 2.081 0.000 5.375
Mg 0.000 2.081 5.375
Zn 0.000 0.000 0.000
K 2.081 2.081 2.095
K 0.000 0.000 8.656
```

=====

# 6
Density functional theory data (PBEsol) for a relaxed structure of RbScMnB2. Values from VASP.

Summary:
Volume ... 78 Å³/cell
E ... -5.473 eV/atom
ρ ... 4.42 g cm⁻³
Energy of formation ... 0.81 eV/atom
SG ... P4/mmm

Structure (Quantum ESPRESSO input):
```
&SYSTEM
  ibrav = 0, nat = 5, ntyp = 4
/
ATOMIC_SPECIES
Mn 54.94 Mn.upf
B 10.81 B.upf
Rb 85.47 Rb.upf
Sc 44.96 Sc.upf
CELL_PARAMETERS angstrom
4.167 0.000 0.000
0.000 4.167 0.000
0.000 0.000 4.483
ATOMIC_POSITIONS angstrom
Mn 0.000 0.000 0.000
B 2.083 0.000 0.000
B 0.000 2.083 0.000
Rb 2.083 2.083 2.242
Sc 0.000 0.000 2.242
```